*A*
Here is LaPuGe after structural relaxation from the Alexandria database. Energies are from PBE.

Calculated values
Magnetization (μB per formula unit): 6.42
ρ (Mg/m³): 10.289

a = 5.1305 Å, b = 5.1305 Å, c = 3.2253 Å
α = 90.00°, β = 90.00°, γ = 120.00°
Closest atoms and distances in Å follow each position.
Fractional positions:
La1 0.0000 0.0000 0.0000  3 Pu 2.96, 2 La 3.23
Pu1 0.6667 0.3333 0.0000  3 La 2.96, 2 Pu 3.23
Ge1 0.3333 0.6667 0.5000  2 Ge 3.23, 6 La 3.37, 6 Pu 3.37

*B*
Here is LaPuGe after structural relaxation from the Alexandria database. Energies are from PBE.

Calculated values
Magnetization (μB per formula unit): 6.97
ρ (Mg/m³): 8.220

a = 7.1669 Å, b = 7.1669 Å, c = 7.1669 Å
α = 90.00°, β = 90.00°, γ = 90.00°
Closest atoms and distances in Å follow each position.
Fractional positions:
La1 0.0000 0.0000 0.0000  4 Ge 3.10
La2 0.0000 0.5000 0.5000  4 Ge 3.10
La3 0.5000 0.0000 0.5000  4 Ge 3.10
La4 0.5000 0.5000 0.0000  4 Ge 3.10
Pu1 0.0000 0.0000 0.5000  4 Ge 3.10
Pu2 0.0000 0.5000 0.0000  4 Ge 3.10
Pu3 0.5000 0.0000 0.0000  4 Ge 3.10
Pu4 0.5000 0.5000 0.5000  4 Ge 3.10
Ge1 0.2500 0.2500 0.2500  4 La 3.10, 4 Pu 3.10
Ge2 0.2500 0.7500 0.7500  4 La 3.10, 4 Pu 3.10
Ge3 0.7500 0.2500 0.7500  4 La 3.10, 4 Pu 3.10
Ge4 0.7500 0.7500 0.2500  4 La 3.10, 4 Pu 3.10

*C*
Here is LaPuGe after structural relaxation from the Alexandria database. Energies are from PBE.

Calculated values
Magnetization (μB per formula unit): 6.65
ρ (Mg/m³): 9.257

a = 7.8797 Å, b = 7.8797 Å, c = 4.5592 Å
α = 90.00°, β = 90.00°, γ = 120.00°
Closest atoms and distances in Å follow each position.
Fractional positions:
La1 0.0000 0.4217 0.0000  5 Ge 3.28-3.32, 2 Pu 3.47
La2 0.4217 0.0000 0.0000  5 Ge 3.28-3.32, 2 Pu 3.47
La3 0.5783 0.5783 0.0000  5 Ge 3.28-3.32, 2 Pu 3.47
Pu1 0.0000 0.7532 0.5000  4 Ge 3.00-3.03
Pu2 0.2468 0.2468 0.5000  4 Ge 3.00-3.03
Pu3 0.7532 0.0000 0.5000  4 Ge 3.00-3.03
Ge1 0.0000 0.0000 0.0000  6 Pu 3.00, 3 La 3.32
Ge2 0.3333 0.6667 0.5000  3 Pu 3.03, 6 La 3.28
Ge3 0.6667 0.3333 0.5000  3 Pu 3.03, 6 La 3.28

*D*
Here is LaPuGe after structural relaxation from the Alexandria database. Energies are from PBE.

Calculated values
Magnetization (μB per formula unit): 6.40
ρ (Mg/m³): 9.761

a = 5.1647 Å, b = 5.1647 Å, c = 6.7095 Å
α = 90.00°, β = 90.00°, γ = 120.00°
Closest atoms and distances in Å follow each position.
Fractional positions:
La1 0.0000 0.0000 0.0000  2 La 3.35, 6 Pu 3.42, 6 Ge 3.42
La2 0.0000 0.0000 0.5000  2 La 3.35, 6 Ge 3.42, 6 Pu 3.42
Pu1 0.3333 0.6667 0.2500  3 Ge 2.98
Pu2 0.6667 0.3333 0.7500  3 Ge 2.98
Ge1 0.3333 0.6667 0.7500  3 Pu 2.98
Ge2 0.6667 0.3333 0.2500  3 Pu 2.98

Stability check: which of them is least stable? *A*.

*A*
Here is La2PuGe after structural relaxation from the Alexandria database. Energies are from PBE.

Calculated values
Magnetization (μB per formula unit): 6.16
ρ (Mg/m³): 7.933

a = 3.5962 Å, b = 3.5962 Å, c = 33.3281 Å
α = 90.00°, β = 90.00°, γ = 120.00°
Closest atoms and distances in Å follow each position.
Fractional positions:
La1 0.0000 0.0000 0.0983  3 Ge 3.08, 1 Pu 3.28
La2 0.0000 0.0000 0.9017  3 Ge 3.08, 1 Pu 3.28
La3 0.3333 0.6667 0.5684  3 Ge 3.08, 1 Pu 3.28
La4 0.3333 0.6667 0.7650  3 Ge 3.08, 1 Pu 3.28
La5 0.6667 0.3333 0.2350  3 Ge 3.08, 1 Pu 3.28
La6 0.6667 0.3333 0.4316  3 Ge 3.08, 1 Pu 3.28
Pu1 0.0000 0.0000 0.0000  2 La 3.28, 6 Pu 3.60
Pu2 0.3333 0.6667 0.6667  2 La 3.28, 6 Pu 3.60
Pu3 0.6667 0.3333 0.3333  2 La 3.28, 6 Pu 3.60
Ge1 0.0000 0.0000 0.5000  6 La 3.08
Ge2 0.3333 0.6667 0.1667  6 La 3.08
Ge3 0.6667 0.3333 0.8333  6 La 3.08

*B*
Here is La2PuGe after structural relaxation from the Alexandria database. Energies are from PBE.

Calculated values
Magnetization (μB per formula unit): 6.67
ρ (Mg/m³): 8.972

a = 4.8845 Å, b = 4.8845 Å, c = 4.6116 Å
α = 90.00°, β = 90.00°, γ = 90.00°
Closest atoms and distances in Å follow each position.
Fractional positions:
La1 0.0000 0.5000 0.0000  4 Ge 3.36, 4 Pu 3.36, 4 La 3.45
La2 0.5000 0.0000 0.0000  4 Ge 3.36, 4 Pu 3.36, 4 La 3.45
Pu1 0.0000 0.0000 0.5000  8 La 3.36, 4 Ge 3.45
Ge1 0.5000 0.5000 0.5000  8 La 3.36, 4 Pu 3.45

Stability check: which of them is least stable? *A*.

*A*
Here is RbLaGe3 after structural relaxation from the Alexandria database. Energies are from PBE.

Calculated values
Magnetization (μB per formula unit): 0.00
ρ (Mg/m³): 4.563

a = 5.4394 Å, b = 5.4394 Å, c = 5.4394 Å
α = 90.00°, β = 90.00°, γ = 90.00°
Closest atoms and distances in Å follow each position.
Fractional positions:
Rb1 0.0000 0.0000 0.0000  6 Ge 2.72
La1 0.5000 0.5000 0.5000  12 Ge 3.85
Ge1 0.0000 0.0000 0.5000  2 Rb 2.72
Ge2 0.0000 0.5000 0.0000  2 Rb 2.72
Ge3 0.5000 0.0000 0.0000  2 Rb 2.72

*B*
Here is RbLaGe3 after structural relaxation from the Alexandria database. Energies are from PBE.

Calculated values
Magnetization (μB per formula unit): 0.00
ρ (Mg/m³): 3.749

a = 5.8078 Å, b = 5.8078 Å, c = 5.8078 Å
α = 90.00°, β = 90.00°, γ = 90.00°
Closest atoms and distances in Å follow each position.
Fractional positions:
Rb1 0.0000 0.0000 0.0000  12 Ge 4.11
La1 0.5000 0.5000 0.5000  6 Ge 2.90
Ge1 0.0000 0.5000 0.5000  2 La 2.90
Ge2 0.5000 0.0000 0.5000  2 La 2.90
Ge3 0.5000 0.5000 0.0000  2 La 2.90

Stability check: which of them is least stable? *A*.

*A*
Here is RbLa3Ge after structural relaxation from the Alexandria database. Energies are from PBE.

Calculated values
Magnetization (μB per formula unit): 0.00
ρ (Mg/m³): 4.377

a = 6.0193 Å, b = 6.0193 Å, c = 6.0193 Å
α = 90.00°, β = 90.00°, γ = 90.00°
Closest atoms and distances in Å follow each position.
Fractional positions:
Rb1 0.0000 0.0000 0.0000  12 La 4.26
La1 0.0000 0.5000 0.5000  2 Ge 3.01
La2 0.5000 0.0000 0.5000  2 Ge 3.01
La3 0.5000 0.5000 0.0000  2 Ge 3.01
Ge1 0.5000 0.5000 0.5000  6 La 3.01

*B*
Here is RbLa3Ge after structural relaxation from the Alexandria database. Energies are from PBE.

Calculated values
Magnetization (μB per formula unit): 0.00
ρ (Mg/m³): 5.509

a = 5.5748 Å, b = 5.5748 Å, c = 5.5748 Å
α = 90.00°, β = 90.00°, γ = 90.00°
Closest atoms and distances in Å follow each position.
Fractional positions:
Rb1 0.0000 0.0000 0.0000  6 La 2.79
La1 0.0000 0.0000 0.5000  2 Rb 2.79
La2 0.0000 0.5000 0.0000  2 Rb 2.79
La3 0.5000 0.0000 0.0000  2 Rb 2.79
Ge1 0.5000 0.5000 0.5000  12 La 3.94

Stability check: which of them is least stable? *B*.

*A*
Here is La2ReGe2 after structural relaxation from the Alexandria database. Energies are from PBE.

Calculated values
Magnetization (μB per formula unit): 0.00
ρ (Mg/m³): 8.753

a = 4.1668 Å, b = 4.1668 Å, c = 13.3148 Å
α = 90.00°, β = 90.00°, γ = 90.00°
Closest atoms and distances in Å follow each position.
Fractional positions:
La1 0.0000 0.5000 0.2500  4 La 2.95, 4 Ge 3.02
La2 0.0000 0.5000 0.7500  4 La 2.95, 4 Ge 3.02
La3 0.5000 0.0000 0.2500  4 La 2.95, 4 Ge 3.02
La4 0.5000 0.0000 0.7500  4 La 2.95, 4 Ge 3.02
Re1 0.0000 0.0000 0.0000  8 Ge 3.16
Re2 0.5000 0.5000 0.5000  8 Ge 3.16
Ge1 0.0000 0.0000 0.4146  1 Ge 2.27
Ge2 0.0000 0.0000 0.5854  1 Ge 2.27
Ge3 0.5000 0.5000 0.0854  1 Ge 2.27
Ge4 0.5000 0.5000 0.9146  1 Ge 2.27

*B*
Here is La2ReGe2 after structural relaxation from the Alexandria database. Energies are from PBE.

Calculated values
Magnetization (μB per formula unit): 0.43
ρ (Mg/m³): 8.830

a = 7.0124 Å, b = 7.0124 Å, c = 4.6603 Å
α = 90.00°, β = 90.00°, γ = 90.00°
Closest atoms and distances in Å follow each position.
Fractional positions:
La1 0.1803 0.3197 0.0000  6 Ge 2.98-3.22
La2 0.3197 0.8197 0.0000  6 Ge 2.98-3.22
La3 0.6803 0.1803 0.0000  6 Ge 2.98-3.22
La4 0.8197 0.6803 0.0000  6 Ge 2.98-3.22
Re1 0.0000 0.0000 0.5000  4 Ge 2.74
Re2 0.5000 0.5000 0.5000  4 Ge 2.74
Ge1 0.1325 0.6325 0.5000  1 Ge 2.63, 2 Re 2.74
Ge2 0.3675 0.1325 0.5000  1 Ge 2.63, 2 Re 2.74
Ge3 0.6325 0.8675 0.5000  1 Ge 2.63, 2 Re 2.74
Ge4 0.8675 0.3675 0.5000  1 Ge 2.63, 2 Re 2.74

Stability check: which of them is least stable? *A*.